# 1
# Ti2ZnHgH | Alexandria | PBE-GGA | relaxed
# E above lowest polymorph = 0.0 kJ/mol of atoms
# Total magnetization = 0.00 Bohr magnetons per cell
# Crystal system = tetragonal
# Final energy = -4.29 eV/atom
data_Ti2ZnHgH
_symmetry_space_group_name_H-M 'P 4/m m m'
_symmetry_Int_Tables_number 123
_symmetry_space_group_name_Hall '-P 4 2'
_cell_length_a 4.0359
_cell_length_b 4.0359
_cell_length_c 4.2700
_cell_angle_alpha 90.00
_cell_angle_beta 90.00
_cell_angle_gamma 90.00
loop_
_atom_site_label
_atom_site_fract_x
_atom_site_fract_y
_atom_site_fract_z
_atom_site_occupancy
Ti1 0.0000 0.5000 0.0000 1
Zn1 0.0000 0.0000 0.5000 1
Hg1 0.5000 0.5000 0.5000 1
H1 0.0000 0.0000 0.0000 1


# 2
# PmPr4Sn15 | Alexandria | PBE-GGA | relaxed
# DFT formation energy = -499 meV per atom
# Total magnetization = 0.00 Bohr magnetons per cell
# Crystal system = tetragonal
# Final energy = -4.69 eV/atom
data_PmPr4Sn15
_symmetry_space_group_name_H-M 'P 4/m m m'
_symmetry_Int_Tables_number 123
_symmetry_space_group_name_Hall '-P 4 2'
_cell_length_a 4.7149
_cell_length_b 4.7149
_cell_length_c 24.6809
_cell_angle_alpha 90.00
_cell_angle_beta 90.00
_cell_angle_gamma 90.00
loop_
_atom_site_label
_atom_site_fract_x
_atom_site_fract_y
_atom_site_fract_z
_atom_site_occupancy
Pm1 0.0000 0.0000 0.0000 1
Pr1 0.0000 0.0000 0.1996 1
Pr2 0.0000 0.0000 0.3997 1
Sn1 0.0000 0.5000 0.0989 1
Sn2 0.0000 0.5000 0.2996 1
Sn3 0.0000 0.5000 0.5000 1
Sn4 0.5000 0.5000 0.0000 1
Sn5 0.5000 0.5000 0.1993 1
Sn6 0.5000 0.5000 0.3999 1


# 3
# BaSr2SnH | Alexandria | PBE-GGA | relaxed
# Total magnetization = 0.00 Bohr magnetons per cell
# Crystal system = tetragonal
# Final energy = -2.95 eV/atom
data_BaSr2SnH
_symmetry_space_group_name_H-M 'P 4/m m m'
_symmetry_Int_Tables_number 123
_symmetry_space_group_name_Hall '-P 4 2'
_cell_length_a 5.4205
_cell_length_b 5.4205
_cell_length_c 5.3481
_cell_angle_alpha 90.00
_cell_angle_beta 90.00
_cell_angle_gamma 90.00
loop_
_atom_site_label
_atom_site_fract_x
_atom_site_fract_y
_atom_site_fract_z
_atom_site_occupancy
Ba1 0.0000 0.0000 0.0000 1
Sr1 0.0000 0.5000 0.5000 1
Sn1 0.5000 0.5000 0.0000 1
H1 0.0000 0.0000 0.5000 1


# 4
# ZnSb2 | Alexandria | PBE-GGA | relaxed
# Formation energy from raw total energies = 0.117 eV per atom
# Total magnetization = 0.00 Bohr magnetons per cell
# Crystal system = orthorhombic
# Final energy = -3.06 eV/atom
data_ZnSb2
_symmetry_space_group_name_H-M 'C m c m'
_symmetry_Int_Tables_number 63
_symmetry_space_group_name_Hall '-C 2c 2'
_cell_length_a 3.1665
_cell_length_b 16.8818
_cell_length_c 5.6526
_cell_angle_alpha 90.00
_cell_angle_beta 90.00
_cell_angle_gamma 90.00
loop_
_atom_site_label
_atom_site_fract_x
_atom_site_fract_y
_atom_site_fract_z
_atom_site_occupancy
Zn1 0.0000 0.1740 0.2500 1
Sb1 0.0000 0.1831 0.7500 1
Sb2 0.0000 0.4691 0.7500 1